Here is a relaxed structure of K3HgRu from Alexandria via LeMat-Bulk. Energies are from PBE.

Computed properties:
V, A^3/atom: 47.1
E_form, eV per formula unit: 4.0
Symmetry: Pm-3m (221)

Cell: 6.1768 6.1768 6.1768 Å, 90.00 90.00 90.00°
Last column: nearest neighbours and their distance in Å.
Fractional positions:
Ru (0.0000, 0.0000, 0.0000)  6 K 3.09
K (0.0000, 0.5000, 0.0000)  2 Ru 3.09
K (0.0000, 0.0000, 0.5000)  2 Ru 3.09
K (0.5000, 0.0000, 0.0000)  2 Ru 3.09
Hg (0.5000, 0.5000, 0.5000)  12 K 4.37

Here is a relaxed structure of KGa2CuBi from Alexandria via LeMat-Bulk. Energies are from PBE.

Computed properties:
V, A^3/atom: 26.1
E_form, eV per formula unit: 0.8
Symmetry: P4/mmm (123)

Cell: 4.8239 5.6114 4.8239 Å, 90.00 90.00 90.00°
Last column: nearest neighbours and their distance in Å.
Fractional positions:
K (0.0000, 0.5000, 0.0000)  2 Cu 2.81
Cu (0.0000, 0.0000, 0.0000)  4 Ga 2.41
Bi (0.5000, 0.5000, 0.5000)  4 K 3.41, 8 Ga 3.70
Ga (0.0000, 0.0000, 0.5000)  2 Cu 2.41
Ga (0.5000, 0.0000, 0.0000)  2 Cu 2.41

Here is a relaxed structure of CaPa2Se6 from Alexandria via LeMat-Bulk. Energies are from PBE.

Computed properties:
V, A^3/atom: 34.5
Symmetry: C2/m (12)
E, eV/cell: -54.975

Cell: 7.2006 7.2006 7.4698 Å, 77.24 77.24 117.67°
Last column: nearest neighbours and their distance in Å.
Fractional positions:
Ca (0.5000, 0.0000, 0.0000)  6 Se 2.96-2.98
Pa (0.3299, 0.1701, 0.5000)  6 Se 2.77-2.79
Pa (0.6701, 0.8299, 0.5000)  6 Se 2.77-2.79
Se (0.8970, 0.0388, 0.7237)  2 Pa 2.77-2.79, 1 Ca 2.98
Se (0.4612, 0.6030, 0.2763)  2 Pa 2.77-2.79, 1 Ca 2.98
Se (0.1030, 0.9612, 0.2763)  2 Pa 2.77-2.79, 1 Ca 2.98
Se (0.5388, 0.3970, 0.7237)  2 Pa 2.77-2.79, 1 Ca 2.98
Se (0.2857, 0.7857, 0.7451)  2 Pa 2.79, 1 Ca 2.96
Se (0.7143, 0.2143, 0.2549)  2 Pa 2.79, 1 Ca 2.96